Material: HfUSb2
Method: DFT, PBE
State: optimized geometry

a = 3.701 Å, b = 5.072 Å, c = 5.072 Å
α = 90.00°, β = 90.00°, γ = 90.00°
Sites, in units of the cell vectors:
Sb  0.000  0.000  0.500
Sb  0.000  0.500  0.000
Hf  0.500  0.500  0.500
U  0.500  0.000  0.000

Output
Total magnetization (μB/atom): 0.60
Energy above the lowest structure with this stoichiometry (meV per atom): 0
Symmetry: No. 123
Formation energy from raw total energies (eV/atom): -0.226